Entry one
{"formula": "Sm3Ge2Pd7", "functional": "PBE", "state": "relaxed", "cell": [[-2.049, 2.049, 13.874], [2.049, -2.049, 13.874], [2.049, 2.049, -13.874]], "species": ["Sm", "Sm", "Sm", "Ge", "Ge", "Pd", "Pd", "Pd", "Pd", "Pd", "Pd", "Pd"], "frac_coords": [[0.000, 0.000, 0.000], [0.174, 0.174, 0.000], [0.826, 0.826, 0.000], [0.370, 0.370, 0.000], [0.630, 0.630, 0.000], [0.078, 0.578, 0.500], [0.279, 0.279, 0.000], [0.422, 0.922, 0.500], [0.500, 0.500, 0.000], [0.578, 0.078, 0.500], [0.721, 0.721, 0.000], [0.922, 0.422, 0.500]], "magmom_total_mub_per_cell": 0.0, "dos_at_fermi_per_ev_cell": 8.6}



Entry two
{"formula": "Sm3Ge2Pd7", "functional": "PBE", "state": "relaxed", "cell": [[2.149, -14.573, 0.000], [2.149, 14.573, 0.000], [0.000, 0.000, 3.955]], "species": ["Sm", "Sm", "Sm", "Ge", "Ge", "Pd", "Pd", "Pd", "Pd", "Pd", "Pd", "Pd"], "frac_coords": [[0.000, 0.000, 0.000], [0.201, 0.799, 0.000], [0.799, 0.201, 0.000], [0.417, 0.583, 0.500], [0.583, 0.417, 0.500], [0.127, 0.873, 0.500], [0.288, 0.712, 0.500], [0.367, 0.633, 0.000], [0.500, 0.500, 0.500], [0.633, 0.367, 0.000], [0.712, 0.288, 0.500], [0.873, 0.127, 0.500]], "magmom_total_mub_per_cell": 0.0, "dos_at_fermi_per_ev_cell": 5.1}



Relative energies with respect to the most stable structure, expressed in kJ/mol of atoms: entry one 0.0; entry two 12.8.



Entry one
{"formula": "Sm2GePd6", "functional": "PBE", "state": "relaxed", "cell": [[4.936, -2.875, 0.000], [4.936, 2.875, 0.000], [-1.475, 0.000, 5.924]], "species": ["Sm", "Sm", "Ge", "Pd", "Pd", "Pd", "Pd", "Pd", "Pd"], "frac_coords": [[0.144, 0.144, 0.337], [0.856, 0.856, 0.663], [0.500, 0.500, 0.500], [0.110, 0.628, 0.185], [0.372, 0.890, 0.815], [0.373, 0.373, 0.799], [0.627, 0.627, 0.201], [0.628, 0.110, 0.185], [0.890, 0.372, 0.815]], "magmom_total_mub_per_cell": 0.0, "dos_at_fermi_per_ev_cell": 3.4}



Entry two
{"formula": "Sm2GePd6", "functional": "PBE", "state": "relaxed", "cell": [[6.531, -3.817, 0.000], [6.531, 3.817, 0.000], [-1.115, 0.000, 3.727]], "species": ["Sm", "Sm", "Ge", "Pd", "Pd", "Pd", "Pd", "Pd", "Pd"], "frac_coords": [[0.151, 0.151, 0.137], [0.849, 0.849, 0.863], [0.500, 0.500, 0.500], [0.126, 0.548, 0.345], [0.298, 0.702, 0.000], [0.452, 0.874, 0.655], [0.548, 0.126, 0.345], [0.702, 0.298, 0.000], [0.874, 0.452, 0.655]], "magmom_total_mub_per_cell": 0.0, "dos_at_fermi_per_ev_cell": 4.0}



Relative energies with respect to the most stable structure, expressed in kJ/mol of atoms: entry one 0.0; entry two 25.2.